Record 1
# CsCrBr4 | Alexandria via LeMat-Bulk | PBE-GGA | relaxed
data_CsCrBr4
_chemical_formula_sum 'Cs4 Cr4 Br16'
_cell_length_a 13.002
_cell_length_b 7.715
_cell_length_c 9.994
_cell_angle_alpha 90.00
_cell_angle_beta 105.77
_cell_angle_gamma 90.00
_space_group_name_H-M_alt 'C 1 2/m 1'
_space_group_IT_number 12
_space_group_name_Hall '-C 2y'
loop_
_atom_site_label
_atom_site_fract_x
_atom_site_fract_y
_atom_site_fract_z
Cs1 0.138 0.000 0.329
Cr1 0.037 0.500 0.826
Br1 0.000 0.282 0.000
Br2 0.119 0.270 0.726
Br3 0.140 0.500 0.328
# Energy above the most stable polymorph in this dataset ... 0.000 eV per formula unit
# Formation energy (no corrections) ... -1.0586 eV per atom

=====

Record 2
# KBaTlSb | Alexandria via LeMat-Bulk | PBE-GGA | relaxed
data_KBaTlSb
_chemical_formula_sum 'K4 Ba4 Tl4 Sb4'
_cell_length_a 8.440
_cell_length_b 8.440
_cell_length_c 8.440
_cell_angle_alpha 90.00
_cell_angle_beta 90.00
_cell_angle_gamma 90.00
_space_group_name_H-M_alt 'F -4 3 m'
_space_group_IT_number 216
_space_group_name_Hall 'F -4 2 3'
loop_
_atom_site_label
_atom_site_fract_x
_atom_site_fract_y
_atom_site_fract_z
K1 0.000 0.000 0.000
Ba1 0.000 0.000 0.500
Tl1 0.250 0.250 0.250
Sb1 0.250 0.250 0.750
# Formation energy (no corrections) ... -0.4340 eV per atom

=====

Record 3
# Be5Au | Alexandria via LeMat-Bulk | PBE-GGA | relaxed
data_Be5Au
_chemical_formula_sum 'Be20 Au4'
_cell_length_a 6.123
_cell_length_b 6.123
_cell_length_c 6.123
_cell_angle_alpha 90.00
_cell_angle_beta 90.00
_cell_angle_gamma 90.00
_space_group_name_H-M_alt 'F -4 3 m'
_space_group_IT_number 216
_space_group_name_Hall 'F -4 2 3'
loop_
_atom_site_label
_atom_site_fract_x
_atom_site_fract_y
_atom_site_fract_z
Be1 0.000 0.000 0.000
Be2 0.126 0.126 0.626
Au1 0.250 0.250 0.250
# Energy above the most stable polymorph in this dataset ... 0.000 eV per formula unit

=====

Record 4
# SrAc2Tc2N6 | Alexandria via LeMat-Bulk | PBE-GGA | relaxed
data_SrAc2Tc2N6
_chemical_formula_sum 'Sr2 Ac4 Tc4 N12'
_cell_length_a 11.197
_cell_length_b 6.042
_cell_length_c 7.144
_cell_angle_alpha 90.00
_cell_angle_beta 122.88
_cell_angle_gamma 90.00
_space_group_name_H-M_alt 'C 1 2/m 1'
_space_group_IT_number 12
_space_group_name_Hall '-C 2y'
loop_
_atom_site_label
_atom_site_fract_x
_atom_site_fract_y
_atom_site_fract_z
Sr1 0.000 0.000 0.000
Ac1 0.216 0.000 0.668
Tc1 0.017 0.500 0.686
N1 0.090 0.262 0.322
N2 0.204 0.500 0.885
# Formation energy (no corrections) ... -0.6688 eV per atom

=====

Record 5
# Be2ReSe | Alexandria via LeMat-Bulk | PBE-GGA | relaxed
data_Be2ReSe
_chemical_formula_sum 'Be2 Re1 Se1'
_cell_length_a 3.116
_cell_length_b 3.116
_cell_length_c 5.082
_cell_angle_alpha 90.00
_cell_angle_beta 90.00
_cell_angle_gamma 90.00
_space_group_name_H-M_alt 'P 4 m m'
_space_group_IT_number 99
_space_group_name_Hall 'P 4 -2'
loop_
_atom_site_label
_atom_site_fract_x
_atom_site_fract_y
_atom_site_fract_z
Be1 0.000 0.000 0.000
Be2 0.500 0.500 0.219
Re1 0.000 0.000 0.452
Se1 0.500 0.500 0.754
# Formation energy (no corrections) ... 0.3099 eV per atom

=====

Record 6
# ReW3 | Alexandria via LeMat-Bulk | PBE-GGA | relaxed
data_ReW3
_chemical_formula_sum 'Re1 W3'
_cell_length_a 2.752
_cell_length_b 4.466
_cell_length_c 5.249
_cell_angle_alpha 90.00
_cell_angle_beta 100.27
_cell_angle_gamma 90.00
_space_group_name_H-M_alt 'P 1 2/m 1'
_space_group_IT_number 10
_space_group_name_Hall '-P 2y'
loop_
_atom_site_label
_atom_site_fract_x
_atom_site_fract_y
_atom_site_fract_z
Re1 0.000 0.000 0.000
W1 0.254 0.500 0.750
W2 0.500 0.000 0.500
# Energy above the most stable polymorph in this dataset ... 0.112 eV per formula unit

=====

Record 7
# Co2OsRh | Alexandria via LeMat-Bulk | PBE-GGA | relaxed
data_Co2OsRh
_chemical_formula_sum 'Co4 Os2 Rh2'
_cell_length_a 3.729
_cell_length_b 3.729
_cell_length_c 7.160
_cell_angle_alpha 90.00
_cell_angle_beta 90.00
_cell_angle_gamma 90.00
_space_group_name_H-M_alt 'I 4/m m m'
_space_group_IT_number 139
_space_group_name_Hall '-I 4 2'
loop_
_atom_site_label
_atom_site_fract_x
_atom_site_fract_y
_atom_site_fract_z
Co1 0.000 0.500 0.250
Os1 0.000 0.000 0.000
Rh1 0.000 0.000 0.500
# Energy above the most stable polymorph in this dataset ... 0.152 eV per formula unit

=====

Record 8
The following is a DFT calculation (PBE-GGA) of an optimized crystal structure of Pa4P5Pd.

CIF file:
```
data_Pa4P5Pd
_chemical_formula_sum 'Pa12 P15 Pd3'
_cell_length_a 3.9582
_cell_length_b 3.9582
_cell_length_c 45.9376
_cell_angle_alpha 90.00
_cell_angle_beta 90.00
_cell_angle_gamma 120.00
_space_group_name_H-M_alt 'R -3 m'
_space_group_IT_number 166
_space_group_name_Hall '-R 3 2"'
loop_
_atom_site_label
_atom_site_fract_x
_atom_site_fract_y
_atom_site_fract_z
Pa1 0.0000 0.0000 0.1074
Pa2 0.0000 0.0000 0.2977
P1 0.0000 0.0000 0.0000
P2 0.0000 0.0000 0.1936
P3 0.0000 0.0000 0.4047
Pd1 0.0000 0.0000 0.5000
```

=====

Record 9
The following is a DFT calculation (PBE-GGA) of an optimized crystal structure of Ag6PtAu10.

CIF file:
```
data_Ag6PtAu10
_chemical_formula_sum 'Ag6 Pt1 Au10'
_cell_length_a 8.0119
_cell_length_b 8.0119
_cell_length_c 5.6239
_cell_angle_alpha 90.00
_cell_angle_beta 90.00
_cell_angle_gamma 120.00
_space_group_name_H-M_alt 'P -3 1 m'
_space_group_IT_number 162
_space_group_name_Hall '-P 3 2'
loop_
_atom_site_label
_atom_site_fract_x
_atom_site_fract_y
_atom_site_fract_z
Ag1 0.0000 0.3407 0.3413
Pt1 0.0000 0.0000 0.5000
Au1 0.0000 0.3029 0.8437
Au2 0.3333 0.6667 0.0000
Au3 0.3333 0.6667 0.5000
```

=====

Record 10
# Pm3ScHg2 | Alexandria via LeMat-Bulk | PBE-GGA | relaxed
data_Pm3ScHg2
_chemical_formula_sum 'Pm6 Sc2 Hg4'
_cell_length_a 5.237
_cell_length_b 9.491
_cell_length_c 6.821
_cell_angle_alpha 90.00
_cell_angle_beta 90.00
_cell_angle_gamma 90.00
_space_group_name_H-M_alt 'P m c 21'
_space_group_IT_number 26
_space_group_name_Hall 'P 2c -2'
loop_
_atom_site_label
_atom_site_fract_x
_atom_site_fract_y
_atom_site_fract_z
Pm1 0.000 0.047 0.000
Pm2 0.000 0.335 0.324
Pm3 0.500 0.183 0.695
Sc1 0.500 0.453 0.029
Hg1 0.000 0.350 0.793
Hg2 0.500 0.155 0.236
# Energy above the most stable polymorph in this dataset ... 0.000 eV per formula unit

=====

Record 11
# NbB3Ir | Alexandria via LeMat-Bulk | PBE-GGA | relaxed
data_NbB3Ir
_chemical_formula_sum 'Nb4 B12 Ir4'
_cell_length_a 3.338
_cell_length_b 18.411
_cell_length_c 3.178
_cell_angle_alpha 90.00
_cell_angle_beta 90.00
_cell_angle_gamma 90.00
_space_group_name_H-M_alt 'C m c m'
_space_group_IT_number 63
_space_group_name_Hall '-C 2c 2'
loop_
_atom_site_label
_atom_site_fract_x
_atom_site_fract_y
_atom_site_fract_z
Nb1 0.000 0.073 0.250
B1 0.000 0.322 0.750
B2 0.000 0.376 0.250
B3 0.000 0.475 0.250
Ir1 0.000 0.203 0.750
# Energy above the most stable polymorph in this dataset ... 0.000 eV per formula unit

=====

Record 12
# Cd2Ni2Bi | Alexandria via LeMat-Bulk | PBE-GGA | relaxed
data_Cd2Ni2Bi
_chemical_formula_sum 'Cd4 Ni4 Bi2'
_cell_length_a 7.882
_cell_length_b 7.882
_cell_length_c 3.012
_cell_angle_alpha 90.00
_cell_angle_beta 90.00
_cell_angle_gamma 90.00
_space_group_name_H-M_alt 'P 4/m b m'
_space_group_IT_number 127
_space_group_name_Hall '-P 4 2ab'
loop_
_atom_site_label
_atom_site_fract_x
_atom_site_fract_y
_atom_site_fract_z
Cd1 0.128 0.372 0.000
Ni1 0.168 0.668 0.500
Bi1 0.000 0.000 0.000
# Energy above the most stable polymorph in this dataset ... 0.507 eV per formula unit

=====

| no. | raw total energy (eV per atom) |
| --- | --- |
| 1 | -3.9200 |
| 2 | -2.8113 |
| 3 | -3.7488 |
| 4 | -7.9945 |
| 5 | -5.5363 |
| 6 | -12.7805 |
| 7 | -8.0491 |
| 8 | -8.1090 |
| 9 | -3.2257 |
| 10 | -3.8371 |
| 11 | -8.2729 |
| 12 | -3.2331 |